First-principles (GGA-PBE) data for HfBPdAu after structural relaxation, as listed in OQMD.

Unit cell a=6.257 b=6.257 c=6.257 alpha=90.00 beta=90.00 gamma=90.00
Space group F-43m (No. 216)
One atom of each set of equivalent atoms:
Hf1 0.000 0.000 0.000 [4 per cell]
B1 0.250 0.250 0.250 [4 per cell]
Pd1 0.250 0.250 0.750 [4 per cell]
Au1 0.000 0.000 0.500 [4 per cell]

The uncorrected energy is -98.95 eV per cell.

=====

First-principles (GGA-PBE) data for RbZrPtS3 after structural relaxation, as listed in OQMD.

Unit cell a=8.753 b=3.737 c=9.681 alpha=90.00 beta=113.03 gamma=90.00
Space group P2_1/m (No. 11)
One atom of each set of equivalent atoms:
Rb1 0.223 0.250 0.244 [2 per cell]
Zr1 0.318 0.750 0.833 [2 per cell]
Pt1 0.120 0.250 0.582 [2 per cell]
S1 0.118 0.250 0.843 [2 per cell]
S2 0.267 0.750 0.553 [2 per cell]
S3 0.457 0.750 0.130 [2 per cell]

The uncorrected energy is -69.77 eV per cell.

=====

First-principles (GGA-PBE) data for Lu3In3Cu2Au after structural relaxation, as listed in OQMD.

Unit cell a=7.5173 b=7.5173 c=3.8685 alpha=90.00 beta=90.00 gamma=120.00
Space group P-62m (No. 189)
One atom of each set of equivalent atoms:
Lu1 0.0000 0.5967 0.0000 [3 per cell]
In1 0.0000 0.2750 0.5000 [3 per cell]
Cu1 0.3333 0.6667 0.5000 [2 per cell]
Au1 0.0000 0.0000 0.0000 [1 per cell]

The uncorrected energy is -36.70 eV per cell.